Record 1
PBE Tb2Zn3CoNi12, optimized geometry; M_tot = 4.084 μB/f.u.; crystal system = trigonal; uncorrected energy = -87.36 eV per cell; ρ = 8.0 g/cm³
1.0
-3.560 -8.519 -0.196
-3.213 -6.707 5.474
-7.650 -4.773 1.993
Zn Ni Tb Co
3 12 2 1
Direct
0.000 0.000 0.500
0.000 0.500 0.000
0.500 0.000 0.000
0.075 0.075 0.646
0.579 0.579 0.186
0.579 0.186 0.579
0.925 0.354 0.925
0.075 0.646 0.075
0.646 0.075 0.075
0.421 0.421 0.814
0.354 0.925 0.925
0.925 0.925 0.354
0.186 0.579 0.579
0.814 0.421 0.421
0.421 0.814 0.421
0.349 0.349 0.349
0.651 0.651 0.651
0.000 0.000 0.000



Record 2
PBE Pm2TiO, optimized geometry; M_tot = 1.408 μB/f.u.; crystal system = trigonal; uncorrected energy = -25.84 eV per cell; ρ = 6.5 g/cm³
1.0
3.434 0.000 0.000
1.717 2.974 0.000
1.717 0.991 8.851
Pm O Ti
2 1 1
Direct
0.112 0.112 0.665
0.888 0.888 0.335
0.500 0.500 0.500
0.000 0.000 0.000



Record 3
PBE KY2Cu, optimized geometry; M_tot = 0.001 μB/f.u.; crystal system = orthorhombic; uncorrected energy = -17.24 eV per cell; ρ = 3.2 g/cm³
1.0
10.623 0.142 -0.008
9.234 5.252 0.008
-9.934 -2.678 2.648
Cu Y K
1 2 1
Direct
0.455 0.455 0.000
0.354 0.854 0.500
0.005 0.005 0.000
0.686 0.186 0.500



Which value of ρ does entry 2 give? 6.5 g/cm³